(1)
An optimized crystal structure of CaBe2Tl, computed with PBEsol.

Calculated values
Symmetry   I4_1/amd (141)

a = 8.945 Å, b = 8.945 Å, c = 8.945 Å
α = 150.83°, β = 150.83°, γ = 41.72°
Positions (direct):
Ca 0.375 0.625 0.750
Ca 0.625 0.375 0.250
Be 0.000 0.000 0.000
Be 0.000 0.000 0.500
Be 0.000 0.500 0.000
Be 0.500 0.000 0.500
Tl 0.125 0.875 0.250
Tl 0.875 0.125 0.750

=====

(2)
An optimized crystal structure of CaBe2W, computed with PBEsol.

Calculated values
Symmetry   I-4m2 (119)

a = 4.975 Å, b = 4.975 Å, c = 4.975 Å
α = 136.34°, β = 136.34°, γ = 63.46°
Positions (direct):
Ca 0.000 0.000 0.000
Be 0.250 0.750 0.500
Be 0.500 0.500 0.000
W 0.750 0.250 0.500

=====

| no. | formation energy (eV per atom) | Fermi-level density of states (states/eV/f.u.) | distance to the lowest polymorph of the same formula (eV per atom) |
| --- | --- | --- | --- |
| 1 | 0.344 | 1.87 | 0.010 |
| 2 | 0.912 | 3.04 | 0.411 |